Arrangement i

The following is a GGA-PBE calculation of an optimized crystal structure of ScIrSe2Br, from the Alexandria database.

Computed properties:
Total moment ... 0.0 μB per formula unit

a = 4.965 Å, b = 4.965 Å, c = 4.886 Å
α = 90.00°, β = 90.00°, γ = 90.00°
Space group P4/mmm (No. 123)
Asymmetric unit:
Sc (0.000, 0.000, 0.000)
Ir (0.500, 0.500, 0.500)
Se (0.000, 0.500, 0.500)
Br (0.500, 0.500, 0.000)

***

Arrangement ii

The following is a GGA-PBE calculation of an optimized crystal structure of ScIrSe2Br, from the Alexandria database.

Computed properties:
Total moment ... 2.6 μB per formula unit

a = 5.155 Å, b = 5.155 Å, c = 5.032 Å
α = 90.00°, β = 90.00°, γ = 90.00°
Space group P4/mmm (No. 123)
Asymmetric unit:
Sc (0.000, 0.000, 0.000)
Ir (0.500, 0.500, 0.500)
Se (0.000, 0.500, 0.000)
Br (0.000, 0.000, 0.500)

***

Out of the structures above, which one is the most stable? Solution: arrangement i.